## one
NdTmGaAu after structural relaxation, computed with PBE-GGA.

a b c (Å): 7.2967 7.2967 7.2967
angles (deg): 90.00 90.00 90.00
Space group F-43m (No. 216)
Asymmetric unit:
1 Nd 0.0000 0.0000 0.0000
2 Tm 0.0000 0.0000 0.5000
3 Ga 0.2500 0.2500 0.2500
4 Au 0.2500 0.2500 0.7500

As for the density of states at the Fermi level: 0.81 states/eV/atom.

***

## two
NdTmGaAu after structural relaxation, computed with PBE-GGA.

a b c (Å): 4.5297 3.8165 11.4277
angles (deg): 90.00 90.00 90.00
Space group Amm2 (No. 38)
Asymmetric unit:
1 Nd 0.0000 0.0000 0.0000
2 Tm 0.5000 0.0000 0.2857
3 Ga 0.5000 0.0000 0.5724
4 Au 0.0000 0.0000 0.7293

As for the density of states at the Fermi level: 0.79 states/eV/atom.

***

Last place for stability: one

***

## one
Ga2Ni2Au after structural relaxation, computed with PBE-GGA.

a b c (Å): 3.6705 3.6705 11.0050
angles (deg): 90.00 90.00 90.00
Space group I4/mmm (No. 139)
Asymmetric unit:
1 Ga 0.0000 0.5000 0.2500
2 Ni 0.0000 0.0000 0.1056
3 Au 0.0000 0.0000 0.5000

As for the density of states at the Fermi level: 0.27 states/eV/atom.

***

## two
Ga2Ni2Au after structural relaxation, computed with PBE-GGA.

a b c (Å): 7.0258 7.0258 2.8130
angles (deg): 90.00 90.00 90.00
Space group P4/mbm (No. 127)
Asymmetric unit:
1 Ga 0.1481 0.3519 0.0000
2 Ni 0.1443 0.6443 0.5000
3 Au 0.0000 0.0000 0.0000

As for the density of states at the Fermi level: 0.43 states/eV/atom.

***

Last place for stability: one

***

## one
NpGa2Au3 after structural relaxation, computed with PBE-GGA.

a b c (Å): 15.9572 4.5457 6.8375
angles (deg): 90.00 107.10 90.00
Space group C2/m (No. 12)
Asymmetric unit:
1 Np 0.1219 0.0000 0.1766
2 Ga 0.0101 0.5000 0.8093
3 Ga 0.2277 0.0000 0.6729
4 Au 0.0641 0.0000 0.6964
5 Au 0.1410 0.5000 0.4976
6 Au 0.1887 0.5000 0.9371

As for the density of states at the Fermi level: 1.76 states/eV/atom.

***

## two
NpGa2Au3 after structural relaxation, computed with PBE-GGA.

a b c (Å): 17.2828 4.2173 10.4223
angles (deg): 90.00 107.49 90.00
Space group C2/m (No. 12)
Asymmetric unit:
1 Np 0.0000 0.0000 0.0000
2 Np 0.1552 0.0000 0.7014
3 Ga 0.0319 0.5000 0.7765
4 Ga 0.1404 0.5000 0.4573
5 Ga 0.2004 0.0000 0.1208
6 Au 0.0000 0.5000 0.5000
7 Au 0.0433 0.0000 0.3387
8 Au 0.1165 0.5000 0.1832
9 Au 0.1698 0.5000 0.9492
10 Au 0.2192 0.0000 0.3774

As for the density of states at the Fermi level: 1.66 states/eV/atom.

***

Last place for stability: two

***

## one
NpGa3Au3 after structural relaxation, computed with PBE-GGA.

a b c (Å): 7.0252 7.0252 7.0252
angles (deg): 90.00 90.00 90.00
Space group Pm-3n (No. 223)
Asymmetric unit:
1 Np 0.0000 0.0000 0.0000
2 Ga 0.0000 0.2500 0.5000
3 Au 0.0000 0.5000 0.2500

As for the density of states at the Fermi level: 2.17 states/eV/atom.

***

## two
NpGa3Au3 after structural relaxation, computed with PBE-GGA.

a b c (Å): 8.0980 8.0980 16.5589
angles (deg): 90.00 90.00 120.00
Space group R-3 (No. 148, hexagonal axes)
Asymmetric unit:
1 Np 0.0000 0.0000 0.1656
2 Ga 0.9996 0.3070 0.4163
3 Au 0.0009 0.6567 0.4075

As for the density of states at the Fermi level: 1.86 states/eV/atom.

***

Last place for stability: one

***

## one
Np2Ga3Au5 after structural relaxation, computed with PBE-GGA.

a b c (Å): 4.5888 25.2137 6.9466
angles (deg): 90.00 90.00 90.00
Space group Cmc2_1 (No. 36)
Asymmetric unit:
1 Np 0.0000 0.0149 0.0000
2 Np 0.0000 0.3263 0.0173
3 Ga 0.0000 0.1046 0.3091
4 Ga 0.0000 0.2725 0.5140
5 Ga 0.0000 0.4497 0.1983
6 Au 0.0000 0.1034 0.7026
7 Au 0.0000 0.2042 0.2238
8 Au 0.0000 0.2099 0.8108
9 Au 0.0000 0.3778 0.4834
10 Au 0.0000 0.4479 0.8055

As for the density of states at the Fermi level: 2.33 states/eV/atom.

***

## two
Np2Ga3Au5 after structural relaxation, computed with PBE-GGA.

a b c (Å): 11.4604 11.9171 6.0538
angles (deg): 90.00 90.00 90.00
Space group Ibam (No. 72)
Asymmetric unit:
1 Np 0.2316 0.1353 0.0000
2 Ga 0.0000 0.5000 0.2500
3 Ga 0.1236 0.1331 0.5000
4 Au 0.0000 0.0000 0.2500
5 Au 0.0000 0.2653 0.2500
6 Au 0.1599 0.4000 0.0000

As for the density of states at the Fermi level: 2.22 states/eV/atom.

***

Last place for stability: two

***

## one
GaAu3O after structural relaxation, computed with PBE-GGA.

a b c (Å): 4.5507 4.5507 4.5507
angles (deg): 90.00 90.00 90.00
Space group Pm-3m (No. 221)
Asymmetric unit:
1 Ga 0.0000 0.0000 0.0000
2 Au 0.0000 0.5000 0.5000
3 O 0.5000 0.5000 0.5000

As for the density of states at the Fermi level: 0.18 states/eV/atom.

***

## two
GaAu3O after structural relaxation, computed with PBE-GGA.

a b c (Å): 4.8377 4.8377 4.8377
angles (deg): 90.00 90.00 90.00
Space group Pm-3m (No. 221)
Asymmetric unit:
1 Ga 0.0000 0.0000 0.0000
2 Au 0.0000 0.0000 0.5000
3 O 0.5000 0.5000 0.5000

As for the density of states at the Fermi level: 0.95 states/eV/atom.

***

Last place for stability: two

***

## one
Ga3AuO after structural relaxation, computed with PBE-GGA.

a b c (Å): 4.8644 4.8644 4.8644
angles (deg): 90.00 90.00 90.00
Space group Pm-3m (No. 221)
Asymmetric unit:
1 Ga 0.0000 0.0000 0.5000
2 Au 0.0000 0.0000 0.0000
3 O 0.5000 0.5000 0.5000

As for the density of states at the Fermi level: 0.11 states/eV/atom.

***

## two
Ga3AuO after structural relaxation, computed with PBE-GGA.

a b c (Å): 4.4196 4.4196 4.4196
angles (deg): 90.00 90.00 90.00
Space group Pm-3m (No. 221)
Asymmetric unit:
1 Ga 0.0000 0.0000 0.5000
2 Au 0.5000 0.5000 0.5000
3 O 0.0000 0.0000 0.0000

As for the density of states at the Fermi level: 0.30 states/eV/atom.

***

Last place for stability: one

***

## one
GaP2AuO after structural relaxation, computed with PBE-GGA.

a b c (Å): 4.9516 4.9516 3.5093
angles (deg): 90.00 90.00 90.00
Space group P4/mmm (No. 123)
Asymmetric unit:
1 Ga 0.0000 0.0000 0.0000
2 P 0.0000 0.5000 0.0000
3 Au 0.5000 0.5000 0.5000
4 O 0.0000 0.0000 0.5000

As for the density of states at the Fermi level: 0.79 states/eV/atom.

***

## two
GaP2AuO after structural relaxation, computed with PBE-GGA.

a b c (Å): 4.9369 4.9369 3.9423
angles (deg): 90.00 90.00 90.00
Space group P4/mmm (No. 123)
Asymmetric unit:
1 Ga 0.0000 0.0000 0.0000
2 P 0.0000 0.5000 0.5000
3 Au 0.5000 0.5000 0.5000
4 O 0.5000 0.5000 0.0000

As for the density of states at the Fermi level: 1.12 states/eV/atom.

***

Last place for stability: two